Entry 1:
Density functional theory data (PBE) for ErFe2BC after structural relaxation.

Lattice parameters (Å, degrees): 3.469 5.280 6.595 90.00 90.00 109.18
Fractional positions:
Er  0.452  0.904  0.750
Er  0.548  0.096  0.250
Fe  0.175  0.351  0.937
Fe  0.825  0.649  0.063
Fe  0.175  0.351  0.563
Fe  0.825  0.649  0.437
B  0.731  0.463  0.750
B  0.269  0.537  0.250
C  0.000  0.000  0.000
C  0.000  0.000  0.500

Summary:
size of the total moment	0.331	μB/atom
formation energy	-0.34	eV per atom
total DFT energy (no corrections)	-7.8226	eV/atom

Entry 2:
Density functional theory data (PBE) for LaReIr3 after structural relaxation.

Lattice parameters (Å, degrees): 4.806 4.806 4.806 90.00 90.00 90.00
Fractional positions:
Re  0.500  0.500  0.500
Ir  0.000  0.500  0.000
Ir  0.000  0.000  0.500
Ir  0.500  0.000  0.000
La  0.000  0.000  0.000

Summary:
polymorph energy (0 for the lowest one)	217.4	kJ/mol of atoms
size of the total moment	0.000	μB/atom
formation energy	2.74	eV per atom
total DFT energy (no corrections)	-6.0539	eV/atom

Entry 3:
Density functional theory data (PBE) for PmAlPdAu6 after structural relaxation.

Lattice parameters (Å, degrees): 5.473 10.040 9.276 122.76 107.16 90.00
Fractional positions:
Pm  0.896  0.646  0.791
Pm  0.104  0.354  0.209
Al  0.500  0.500  0.000
Al  0.500  0.000  0.000
Pd  0.500  0.000  0.500
Pd  0.000  0.000  0.500
Au  0.560  0.810  0.119
Au  0.912  0.162  0.823
Au  0.900  0.149  0.303
Au  0.403  0.654  0.303
Au  0.403  0.149  0.303
Au  0.900  0.654  0.303
Au  0.440  0.190  0.881
Au  0.088  0.838  0.177
Au  0.100  0.851  0.697
Au  0.597  0.346  0.697
Au  0.597  0.851  0.697
Au  0.100  0.346  0.697

Summary:
size of the total moment	0.000	μB/atom
formation energy	-0.19	eV per atom
total DFT energy (no corrections)	-3.8978	eV/atom

Entry 4:
Density functional theory data (PBE) for La3Pr4Zn after structural relaxation.

Lattice parameters (Å, degrees): 3.736 3.736 19.420 90.00 90.00 90.00
Fractional positions:
Pr  0.000  0.000  0.906
Pr  0.000  0.000  0.094
Pr  0.000  0.000  0.365
Pr  0.000  0.000  0.635
Zn  0.500  0.500  0.000
La  0.500  0.500  0.230
La  0.500  0.500  0.500
La  0.500  0.500  0.770

Summary:
size of the total moment	0.000	μB/atom
formation energy	-0.07	eV per atom
total DFT energy (no corrections)	-4.4656	eV/atom

Entry 5:
Density functional theory data (PBE) for GaOs2Cl2 after structural relaxation.

Lattice parameters (Å, degrees): 3.978 3.978 6.315 71.64 71.64 90.00
Fractional positions:
Os  0.399  0.399  0.203
Os  0.601  0.601  0.797
Ga  0.000  0.000  0.000
Cl  0.750  0.250  0.500
Cl  0.250  0.750  0.500

Summary:
polymorph energy (0 for the lowest one)	0.0	kJ/mol of atoms
size of the total moment	0.000	μB/atom
formation energy (no corrections)	934	meV/atom
total DFT energy (no corrections)	-4.9020	eV/atom

Entry 6:
Density functional theory data (PBE) for B2C after structural relaxation.

Lattice parameters (Å, degrees): 1.975 3.087 3.963 108.12 90.21 109.12
Fractional positions:
C  0.486  0.616  0.472
B  0.073  0.796  0.819
B  0.389  0.430  0.062

Summary:
polymorph energy (0 for the lowest one)	78.7	kJ/mol of atoms
size of the total moment	0.000	μB/atom
formation energy	1.00	eV per atom
total DFT energy (no corrections)	-6.5257	eV/atom

Entry 7:
Density functional theory data (PBE) for DyThCBr after structural relaxation.

Lattice parameters (Å, degrees): 3.663 3.669 7.856 89.99 103.42 120.12
Fractional positions:
Dy  0.514  0.155  0.684
Th  0.088  0.942  0.046
C  0.295  0.545  0.856
Br  0.981  0.388  0.384

Summary:
size of the total moment	0.000	μB/atom
formation energy (no corrections)	-886	meV/atom
total DFT energy (no corrections)	-6.6157	eV/atom

Entry 8:
Density functional theory data (PBE) for Sm2Cu2PdPt5 after structural relaxation.

Lattice parameters (Å, degrees): 4.016 9.320 9.320 90.00 90.00 90.00
Fractional positions:
Sm  0.000  0.681  0.181
Sm  0.000  0.319  0.819
Sm  0.000  0.181  0.319
Sm  0.000  0.819  0.681
Cu  0.000  0.117  0.617
Cu  0.000  0.883  0.383
Cu  0.000  0.617  0.883
Cu  0.000  0.383  0.117
Pd  0.000  0.000  0.000
Pd  0.000  0.500  0.500
Pt  0.500  0.207  0.064
Pt  0.500  0.793  0.936
Pt  0.500  0.064  0.793
Pt  0.500  0.707  0.436
Pt  0.500  0.936  0.207
Pt  0.500  0.293  0.564
Pt  0.500  0.564  0.707
Pt  0.500  0.436  0.293
Pt  0.500  0.500  0.000
Pt  0.500  0.000  0.500

Summary:
size of the total moment	0.000	μB/atom
formation energy	-0.71	eV per atom
total DFT energy (no corrections)	-6.0162	eV/atom

Entry 9:
Density functional theory data (PBE) for TiCdBi2 after structural relaxation.

Lattice parameters (Å, degrees): 6.597 6.597 8.099 65.97 65.97 90.00
Fractional positions:
Ti  0.500  0.500  0.000
Ti  0.250  0.750  0.500
Bi  0.595  0.125  0.250
Bi  0.155  0.625  0.250
Bi  0.375  0.405  0.750
Bi  0.875  0.845  0.750
Cd  0.000  0.000  0.000
Cd  0.750  0.250  0.500

Summary:
size of the total moment	0.000	μB/atom
formation energy	0.27	eV per atom
total DFT energy (no corrections)	-3.8717	eV/atom

Entry 10:
Density functional theory data (PBE) for LiCo2ReB after structural relaxation.

Lattice parameters (Å, degrees): 4.552 4.145 4.552 90.00 90.00 90.00
Fractional positions:
Re  0.000  0.000  0.000
B  0.000  0.500  0.000
Co  0.000  0.000  0.500
Co  0.500  0.000  0.000
Li  0.500  0.500  0.500

Summary:
size of the total moment	0.585	μB/atom
formation energy	1.22	eV per atom
total DFT energy (no corrections)	-5.8262	eV/atom

Entry 11:
Density functional theory data (PBE) for AcHo2Ag2Pb2 after structural relaxation.

Lattice parameters (Å, degrees): 4.992 4.992 9.550 74.85 74.85 60.00
Fractional positions:
Ac  0.000  0.000  0.000
Ho  0.136  0.136  0.593
Ho  0.864  0.864  0.407
Ag  0.554  0.554  0.337
Ag  0.446  0.446  0.663
Pb  0.740  0.740  0.780
Pb  0.260  0.260  0.220

Summary:
size of the total moment	0.000	μB/atom
formation energy	-0.34	eV per atom
total DFT energy (no corrections)	-4.1111	eV/atom

Entry 12:
Density functional theory data (PBE) for MnCoSb after structural relaxation.

Lattice parameters (Å, degrees): 8.222 8.222 8.222 60.00 60.00 60.00
Fractional positions:
Mn  0.381  0.873  0.873
Mn  0.873  0.381  0.873
Mn  0.873  0.873  0.873
Mn  0.873  0.873  0.381
Mn  0.871  0.376  0.376
Mn  0.376  0.871  0.376
Mn  0.376  0.376  0.376
Mn  0.376  0.376  0.871
Co  0.000  0.000  0.000
Co  0.750  0.750  0.750
Co  0.757  0.757  0.243
Co  0.243  0.243  0.757
Co  0.757  0.243  0.243
Co  0.243  0.757  0.757
Co  0.243  0.757  0.243
Co  0.757  0.243  0.757
Sb  0.599  0.134  0.134
Sb  0.134  0.599  0.134
Sb  0.134  0.134  0.134
Sb  0.134  0.134  0.599
Sb  0.127  0.624  0.624
Sb  0.624  0.127  0.624
Sb  0.624  0.624  0.624
Sb  0.624  0.624  0.127

Summary:
size of the total moment	1.202	μB/atom
formation energy (no corrections)	-94	meV/atom
total DFT energy (no corrections)	-6.8930	eV/atom

Entry 13:
Density functional theory data (PBE) for FePRu2 after structural relaxation.

Lattice parameters (Å, degrees): 4.174 4.174 4.884 80.18 80.18 39.11
Fractional positions:
Fe  0.750  0.750  0.750
P  0.250  0.250  0.250
Ru  0.994  0.994  0.012
Ru  0.506  0.506  0.488

Summary:
size of the total moment	0.759	μB/atom
formation energy	-0.01	eV per atom
total DFT energy (no corrections)	-8.1135	eV/atom

Entry 14:
Density functional theory data (PBE) for Ba4Zn2Hg after structural relaxation.

Lattice parameters (Å, degrees): 7.159 7.159 7.159 109.56 109.43 109.43
Fractional positions:
Ba  0.500  0.000  0.000
Ba  0.500  0.500  0.500
Ba  0.000  0.000  0.500
Ba  0.000  0.500  0.000
Zn  0.500  0.500  0.000
Zn  0.500  0.000  0.500
Hg  0.000  0.000  0.000

Summary:
size of the total moment	0.000	μB/atom
formation energy	-0.21	eV per atom
total DFT energy (no corrections)	-1.7162	eV/atom

Entry 15:
Density functional theory data (PBE) for InRuSe after structural relaxation.

Lattice parameters (Å, degrees): 4.384 4.384 3.363 90.00 90.00 120.00
Fractional positions:
In  0.000  0.000  0.000
Ru  0.333  0.667  0.500
Se  0.667  0.333  0.500

Summary:
polymorph energy (0 for the lowest one)	22.1	kJ/mol of atoms
size of the total moment	0.000	μB/atom
formation energy (no corrections)	199	meV/atom
total DFT energy (no corrections)	-4.9677	eV/atom

Entry 16:
Density functional theory data (PBE) for HoInSnCl6 after structural relaxation.

Lattice parameters (Å, degrees): 7.236 7.236 6.785 90.00 90.00 60.00
Fractional positions:
Ho  0.333  0.333  0.500
In  0.000  0.000  0.000
Sn  0.667  0.667  0.500
Cl  0.023  0.354  0.278
Cl  0.354  0.023  0.722
Cl  0.623  0.354  0.722
Cl  0.023  0.623  0.722
Cl  0.354  0.623  0.278
Cl  0.623  0.023  0.278

Summary:
size of the total moment	0.000	μB/atom
formation energy (no corrections)	-1550	meV/atom
total DFT energy (no corrections)	-4.0389	eV/atom